Arrangement i

First-principles (PBE) data for an optimized crystal structure of CsV3Si, as listed in Alexandria.

a b c (Å): 4.7050 4.7050 4.7050
angles (deg): 90.00 90.00 90.00
Closest atoms and distances in Å follow each position.
Atoms (fractional coordinates):
Cs1 0.5000 0.5000 0.5000  12 V 3.33
V1 0.5000 0.0000 0.0000  2 Si 2.35
V2 0.0000 0.0000 0.5000  2 Si 2.35
V3 0.0000 0.5000 0.0000  2 Si 2.35
Si1 0.0000 0.0000 0.0000  6 V 2.35

Computed properties:
**Magnetic moment**: 0.283 μB/atom



Arrangement ii

First-principles (PBE) data for an optimized crystal structure of CsV3Si, as listed in Alexandria.

a b c (Å): 4.7271 4.7271 4.7271
angles (deg): 90.00 90.00 90.00
Closest atoms and distances in Å follow each position.
Atoms (fractional coordinates):
V1 0.0000 0.5000 0.0000  2 Cs 2.36
V2 0.5000 0.0000 0.0000  2 Cs 2.36
V3 0.0000 0.0000 0.5000  2 Cs 2.36
Si1 0.5000 0.5000 0.5000  12 V 3.34
Cs1 0.0000 0.0000 0.0000  6 V 2.36

Computed properties:
**Magnetic moment**: 0.001 μB/atom



Which is the most stable structure? arrangement i is the most stable.



Arrangement i

First-principles (PBE) data for an optimized crystal structure of CsVSi3, as listed in Alexandria.

a b c (Å): 5.3461 5.3461 5.3461
angles (deg): 90.00 90.00 90.00
Closest atoms and distances in Å follow each position.
Atoms (fractional coordinates):
Cs1 0.0000 0.0000 0.0000  6 Si 2.67
V1 0.5000 0.5000 0.5000  12 Si 3.78
Si1 0.5000 0.0000 0.0000  2 Cs 2.67
Si2 0.0000 0.5000 0.0000  2 Cs 2.67
Si3 0.0000 0.0000 0.5000  2 Cs 2.67

Computed properties:
**Magnetic moment**: 0.719 μB/atom



Arrangement ii

First-principles (PBE) data for an optimized crystal structure of CsVSi3, as listed in Alexandria.

a b c (Å): 4.8170 4.8170 4.8170
angles (deg): 90.00 90.00 90.00
Closest atoms and distances in Å follow each position.
Atoms (fractional coordinates):
Si1 0.5000 0.0000 0.0000  2 V 2.41
Si2 0.0000 0.5000 0.0000  2 V 2.41
Si3 0.0000 0.0000 0.5000  2 V 2.41
V1 0.0000 0.0000 0.0000  6 Si 2.41
Cs1 0.5000 0.5000 0.5000  12 Si 3.41

Computed properties:
**Magnetic moment**: 0.000 μB/atom



Which is the most stable structure? arrangement ii is the most stable.